1.
TbLu, optimized geometry, DFT GGA-PBE; excess energy over the best structure of this formula in the dataset = 100.6 meV per atom
1.0
3.947 0.000 0.000
0.000 3.947 0.000
0.000 0.000 3.947
Lu Tb
1 1
Direct
0.500 0.500 0.500 Lu
0.000 0.000 0.000 Tb

2.
TbLu3, optimized geometry, DFT GGA-PBE; excess energy over the best structure of this formula in the dataset = 34.7 meV per atom
1.0
4.922 0.000 0.000
0.000 4.922 0.000
-2.461 -2.461 4.912
Lu Tb
3 1
Direct
0.750 0.250 0.500 Lu
0.250 0.750 0.500 Lu
0.500 0.500 0.000 Lu
0.000 0.000 0.000 Tb

3.
Tb3Lu, optimized geometry, DFT GGA-PBE; excess energy over the best structure of this formula in the dataset = 12.5 meV per atom
1.0
4.992 0.000 0.000
0.000 4.992 0.000
-2.496 -2.496 4.977
Lu Tb
1 3
Direct
0.000 0.000 0.000 Lu
0.750 0.250 0.500 Tb
0.250 0.750 0.500 Tb
0.500 0.500 0.000 Tb

4.
Tb3Lu, optimized geometry, DFT GGA-PBE; excess energy over the best structure of this formula in the dataset = 129.5 meV per atom
1.0
5.627 0.000 0.000
2.813 4.873 0.000
2.813 1.624 4.594
Lu Tb
1 3
Direct
0.500 0.500 0.500 Lu
0.000 0.000 0.000 Tb
0.750 0.750 0.750 Tb
0.250 0.250 0.250 Tb

5.
Tb2Lu, optimized geometry, DFT GGA-PBE; excess energy over the best structure of this formula in the dataset = 0.0 meV per atom
1.0
3.517 0.000 0.000
0.000 3.517 0.000
-1.759 -1.759 7.482
Lu Tb
1 2
Direct
0.000 0.000 0.000 Lu
0.665 0.665 0.331 Tb
0.335 0.335 0.669 Tb

6.
Tb3Lu, optimized geometry, DFT GGA-PBE; excess energy over the best structure of this formula in the dataset = 0.0 meV per atom
1.0
-1.597 -3.164 0.677
5.041 -2.994 -2.104
0.447 3.093 5.891
Lu Tb
1 3
Direct
0.000 0.001 0.000 Lu
0.252 0.585 0.503 Tb
0.500 0.499 0.000 Tb
0.748 0.082 0.497 Tb

7.
TbLu3, optimized geometry, DFT GGA-PBE; excess energy over the best structure of this formula in the dataset = 130.5 meV per atom
1.0
5.550 0.000 0.000
2.775 4.807 0.000
2.775 1.602 4.532
Lu Tb
3 1
Direct
0.000 0.000 0.000 Lu
0.750 0.750 0.750 Lu
0.250 0.250 0.250 Lu
0.500 0.500 0.500 Tb

8.
TbLu, optimized geometry, DFT GGA-PBE; excess energy over the best structure of this formula in the dataset = 0.0 meV per atom
1.0
-2.228 -2.152 -1.794
-2.117 -2.279 5.360
-3.909 3.938 0.130
Lu Tb
2 2
Direct
0.750 0.083 0.250 Lu
0.250 0.917 0.750 Lu
0.250 0.583 0.250 Tb
0.750 0.417 0.750 Tb

9.
Tb3Lu, optimized geometry, DFT GGA-PBE; excess energy over the best structure of this formula in the dataset = 13.6 meV per atom
1.0
4.988 0.000 0.000
0.000 4.988 0.000
0.000 0.000 4.988
Lu Tb
1 3
Direct
0.000 0.000 0.000 Lu
0.000 0.500 0.500 Tb
0.500 0.000 0.500 Tb
0.500 0.500 0.000 Tb

10.
TbLu3, optimized geometry, DFT GGA-PBE; excess energy over the best structure of this formula in the dataset = 0.0 meV per atom
1.0
-0.974 1.384 -3.119
-2.064 -5.493 -1.793
-3.449 3.243 4.535
Lu Tb
3 1
Direct
0.249 0.583 0.498 Lu
0.500 0.501 0.000 Lu
0.751 0.085 0.502 Lu
0.000 0.998 0.000 Tb

11.
TbLuTc, optimized geometry, DFT GGA-PBE; final energy = -19.75 eV per cell
1.0
-0.081 -2.422 2.455
-0.595 -2.409 -2.397
6.348 1.567 -0.667
Lu Tb Tc
1 1 1
Direct
0.297 0.297 0.593 Lu
0.034 0.034 0.068 Tb
0.669 0.669 0.339 Tc

12.
TbLu3Tc, optimized geometry, DFT GGA-PBE; final energy = -28.02 eV per cell
1.0
5.288 0.000 0.000
0.000 5.288 0.000
0.000 0.000 5.288
Lu Tb Tc
3 1 1
Direct
0.000 0.500 0.000 Lu
0.000 0.000 0.500 Lu
0.500 0.000 0.000 Lu
0.500 0.500 0.500 Tb
0.000 0.000 0.000 Tc

13.
TbLuThTc, optimized geometry, DFT GGA-PBE; final energy = -26.27 eV per cell
1.0
5.210 0.000 0.000
2.605 4.512 0.000
2.605 1.504 4.254
Lu Tb Tc Th
1 1 1 1
Direct
0.750 0.750 0.750 Lu
0.500 0.500 0.500 Tb
0.250 0.250 0.250 Tc
0.000 0.000 0.000 Th

14.
TbLuTlTc, optimized geometry, DFT GGA-PBE; final energy = -22.15 eV per cell
1.0
5.054 0.000 0.000
2.527 4.377 0.000
2.527 1.459 4.127
Tl Lu Tb Tc
1 1 1 1
Direct
0.000 0.000 0.000 Tl
0.750 0.750 0.750 Lu
0.250 0.250 0.250 Tb
0.500 0.500 0.500 Tc

15.
Tb2LuTe, optimized geometry, DFT GGA-PBE; raw formation energy = -505 meV per atom; excess energy over the best structure of this formula in the dataset = 49.4 meV per atom
1.0
3.846 0.000 0.000
1.923 3.331 0.000
1.923 1.110 9.850
Te Lu Tb
1 1 2
Direct
0.000 0.000 0.000 Te
0.500 0.500 0.500 Lu
0.260 0.260 0.219 Tb
0.740 0.740 0.781 Tb

16.
TbLuTe, optimized geometry, DFT GGA-PBE; raw formation energy = -450 meV per atom; excess energy over the best structure of this formula in the dataset = 306.5 meV per atom
1.0
-1.077 -2.881 -2.419
4.920 -0.922 -1.093
-2.257 -2.433 3.903
Te Lu Tb
1 1 1
Direct
0.300 0.333 0.667 Te
0.102 0.000 0.000 Lu
0.598 0.667 0.333 Tb

17.
Tb2LuTe, optimized geometry, DFT GGA-PBE; raw formation energy = -554 meV per atom; excess energy over the best structure of this formula in the dataset = 0.0 meV per atom
1.0
-0.877 2.675 -2.736
-3.404 -1.827 -0.695
-3.326 4.220 5.193
Te Lu Tb
1 1 2
Direct
0.500 0.500 0.000 Te
0.500 0.500 0.500 Lu
0.000 0.000 0.767 Tb
0.000 0.000 0.233 Tb

18.
TbLuTe, optimized geometry, DFT GGA-PBE; raw formation energy = -757 meV per atom; excess energy over the best structure of this formula in the dataset = 0.0 meV per atom
1.0
-3.677 0.895 -0.610
-1.081 -2.900 2.262
2.479 4.506 3.712
Te Lu Tb
1 1 1
Direct
0.671 0.671 0.342 Te
0.322 0.322 0.644 Lu
0.007 0.007 0.015 Tb

19.
TbLuTh, optimized geometry, DFT GGA-PBE; excess energy over the best structure of this formula in the dataset = 0.0 meV per atom
1.0
3.552 0.000 0.000
-1.776 3.076 0.000
0.000 0.000 8.587
Lu Tb Th
1 1 1
Direct
0.667 0.333 0.328 Lu
0.333 0.667 0.670 Tb
0.000 0.000 0.002 Th

20.
TbLuTh, optimized geometry, DFT GGA-PBE; excess energy over the best structure of this formula in the dataset = 2.0 meV per atom
1.0
-1.894 2.107 2.153
0.448 -2.318 2.662
6.945 3.632 -0.384
Lu Tb Th
1 1 1
Direct
0.672 0.672 0.343 Lu
0.996 0.996 0.993 Tb
0.332 0.332 0.664 Th